No. 1
A geometry-optimized Ca4Al structure. Source: the Alexandria database, functional PBE-GGA.

Unit cell a=9.8499 b=6.5283 c=9.1121 alpha=69.12 beta=57.28 gamma=48.74
Sites, in units of the cell vectors:
Ca  0.4085  0.6741  0.8371
Ca  0.6817  0.6480  0.3394
Ca  0.7544  0.8259  0.8371
Ca  0.3183  0.3520  0.6606
Al  0.9999  0.7500  0.0002
Al  0.0001  0.2500  0.9998
Ca  0.5915  0.3259  0.1629
Ca  0.2456  0.1741  0.1629
Ca  0.9789  0.8520  0.3394
Ca  0.0211  0.1480  0.6606

Results
- E above lowest polymorph (meV per atom) = 0.0
- total magnetic moment (μB per formula unit) = 0.0
- space-group type = C2/c, No. 15
- total DFT energy (no corrections) (eV/atom) = -2.41



No. 2
A geometry-optimized Ca4Al structure. Source: the Alexandria database, functional PBE-GGA.

Unit cell a=5.9462 b=5.9462 c=5.9462 alpha=90.00 beta=90.00 gamma=90.00
Sites, in units of the cell vectors:
Ca  0.5000  0.0000  0.5000
Ca  0.5000  0.5000  0.0000
Al  0.5000  0.5000  0.5000
Ca  0.0000  0.0000  0.0000
Ca  0.0000  0.5000  0.5000

Results
- E above lowest polymorph (meV per atom) = 154.0
- total magnetic moment (μB per formula unit) = 0.0
- space-group type = Pm-3m, No. 221
- total DFT energy (no corrections) (eV/atom) = -2.25



No. 3
A geometry-optimized CaAl3 structure. Source: the Alexandria database, functional PBE-GGA.

Unit cell a=4.4511 b=6.3714 c=6.0182 alpha=90.00 beta=90.00 gamma=90.00
Sites, in units of the cell vectors:
Al  0.5000  0.1344  0.2496
Ca  0.0000  0.4027  0.0000
Al  0.5000  0.7715  0.0000
Al  0.5000  0.1344  0.7504
Ca  0.5000  0.5973  0.5000
Al  0.0000  0.8656  0.2504
Al  0.0000  0.2285  0.5000
Al  0.0000  0.8656  0.7496

Results
- total magnetic moment (μB per formula unit) = 0.0
- space-group type = Pmmn, No. 59
- total DFT energy (no corrections) (eV/atom) = -3.51



No. 4
A geometry-optimized Ca3Al5 structure. Source: the Alexandria database, functional PBE-GGA.

Unit cell a=9.0107 b=9.0151 c=8.2254 alpha=99.90 beta=99.86 gamma=135.38
Sites, in units of the cell vectors:
Al  0.5062  0.1691  0.7991
Ca  0.6731  0.1735  0.1762
Al  0.8351  0.6400  0.3079
Ca  0.8434  0.9783  0.4984
Ca  0.8223  0.8075  0.9916
Al  0.3446  0.6875  0.2230
Al  0.1403  0.3363  0.3081
Al  0.6696  0.0072  0.7993
Al  0.5779  0.0782  0.5094
Ca  0.4774  0.3433  0.4985
Al  0.1819  0.6823  0.5012
Ca  0.3067  0.3226  0.9911
Al  0.3428  0.5478  0.6722
Ca  0.0386  0.5391  0.8288
Al  0.0467  0.8427  0.6721
Al  0.1868  0.8446  0.2232

Results
- E above lowest polymorph (meV per atom) = 29.8
- total magnetic moment (μB per formula unit) = 0.0
- space-group type = Cm, No. 8
- total DFT energy (no corrections) (eV/atom) = -3.15